No. 1
## TaCrNi (PBE)

Data for an optimized crystal structure of TaCrNi.

## Properties
Its formation energy is 0.801 eV/atom. The energy above the most stable polymorph in this dataset is 967 meV/atom. As for the space group: F-43m (216).

```
TaCrNi
1.0
-0.2147 1.6496 -3.7976
1.1872 -2.2196 -3.2944
-2.8285 -1.3761 -2.7010
Cr Ni Ta
1 1 1
Direct
0.0000 0.0000 0.0000 Cr
0.5000 0.5000 0.5000 Ni
0.7500 0.7500 0.7500 Ta
```

=====

No. 2
## PaZn9Ni3 (PBE)

Data for an optimized crystal structure of PaZn9Ni3.

## Properties
Its formation energy is -0.177 eV/atom. As for the space group: C2/m (12).

```
PaZn9Ni3
1.0
4.5998 0.0493 1.8671
2.2708 6.2610 0.9218
-0.0151 0.0247 6.6367
Pa Zn Ni
1 9 3
Direct
0.0000 0.0000 0.0000 Pa
0.7170 0.7849 0.7768 Zn
0.2830 0.2151 0.2232 Zn
0.5062 0.2151 0.7768 Zn
0.4938 0.7849 0.2232 Zn
0.6398 0.3403 0.3537 Zn
0.3602 0.6597 0.6463 Zn
0.0065 0.6597 0.3537 Zn
0.9935 0.3403 0.6463 Zn
0.0000 0.5000 0.0000 Zn
0.5000 0.5000 0.0000 Ni
0.0000 0.0000 0.5000 Ni
0.5000 0.0000 0.5000 Ni
```

=====

No. 3
## KNa9Cd3 (PBE)

Data for an optimized crystal structure of KNa9Cd3.

## Properties
Its formation energy is -0.043 eV/atom. As for the space group: C2/m (12).

```
KNa9Cd3
1.0
5.8768 0.0702 2.3855
2.9097 8.2518 1.1811
-0.1825 0.0351 8.8814
K Na Cd
1 9 3
Direct
0.0000 0.0000 0.0000 K
0.7076 0.7860 0.7771 Na
0.2924 0.2140 0.2229 Na
0.5153 0.2140 0.7771 Na
0.4847 0.7860 0.2229 Na
0.6442 0.3402 0.3564 Na
0.3558 0.6598 0.6436 Na
0.9994 0.6598 0.3564 Na
0.0006 0.3402 0.6436 Na
0.0000 0.5000 0.0000 Na
0.5000 0.5000 0.0000 Cd
0.0000 0.0000 0.5000 Cd
0.5000 0.0000 0.5000 Cd
```

=====

No. 4
## CrH2Au (PBE)

Data for an optimized crystal structure of CrH2Au.

## Properties
The energy above the most stable polymorph in this dataset is 0 meV/atom. As for the space group: R-3m (166).

```
CrH2Au
1.0
-0.9062 -2.7084 0.9040
1.1341 -2.4618 -1.2756
3.7495 -1.8080 3.3054
Cr Au H
1 1 2
Direct
0.5000 0.5000 0.5000 Cr
0.0000 0.0000 0.0000 Au
0.1296 0.1296 0.6113 H
0.8704 0.8704 0.3887 H
```

=====

No. 5
## Nd2HoAg5 (PBE)

Data for an optimized crystal structure of Nd2HoAg5.

## Properties
Its formation energy is -0.206 eV/atom. As for the space group: I4/mmm (139).

```
Nd2HoAg5
1.0
5.1323 0.0000 0.0000
0.0000 5.1323 0.0000
-2.5662 -2.5662 7.2053
Nd Ho Ag
2 1 5
Direct
0.7303 0.7303 0.4606 Nd
0.2697 0.2697 0.5394 Nd
0.0000 0.0000 0.0000 Ho
0.5000 0.5000 0.0000 Ag
0.8885 0.3885 0.7770 Ag
0.3885 0.8885 0.7770 Ag
0.1115 0.6115 0.2230 Ag
0.6115 0.1115 0.2230 Ag
```

=====

No. 6
## Pr2SmThN4 (PBE)

Data for an optimized crystal structure of Pr2SmThN4.

## Properties
As for the space group: P2/m (10). The calculation puts the uncorrected formation energy at -1.462 eV/atom.

```
Pr2SmThN4
1.0
3.6627 0.0000 0.0000
0.0000 6.3183 0.1138
0.0000 -2.2057 5.9423
Pr Sm Th N
2 1 1 4
Direct
0.5000 0.0000 0.5000 Pr
0.0000 0.5000 0.5000 Pr
0.0000 0.0000 0.0000 Sm
0.5000 0.5000 0.0000 Th
0.5000 0.2519 0.2384 N
0.5000 0.7481 0.7616 N
0.0000 0.2588 0.7641 N
0.0000 0.7412 0.2359 N
```

=====

No. 7
## LiIn (PBE)

Data for an optimized crystal structure of LiIn.

## Properties
Its formation energy is -0.130 eV/atom. As for the space group: P4/m (83).

```
LiIn
1.0
-3.9002 7.6534 0.2662
-7.3365 -3.8199 2.3324
1.2404 0.4697 4.6707
Li In
8 8
Direct
0.9497 0.7263 0.5000 Li
0.0503 0.2737 0.5000 Li
0.2737 0.9497 0.5000 Li
0.7263 0.0503 0.5000 Li
0.8866 0.2269 0.0000 Li
0.1134 0.7731 0.0000 Li
0.7731 0.8866 0.0000 Li
0.2269 0.1134 0.0000 Li
0.7257 0.3773 0.5000 In
0.2743 0.6227 0.5000 In
0.6227 0.7257 0.5000 In
0.3773 0.2743 0.5000 In
0.8302 0.5661 0.0000 In
0.1698 0.4339 0.0000 In
0.4339 0.8302 0.0000 In
0.5661 0.1698 0.0000 In
```

=====

No. 8
## Hf2TiInB (PBE)

Data for an optimized crystal structure of Hf2TiInB.

## Properties
Its formation energy is -0.374 eV/atom. As for the space group: P4/mmm (123).

```
Hf2TiInB
1.0
4.5902 0.0000 0.0000
0.0000 4.5902 0.0000
0.0000 0.0000 4.3832
B Ti Hf In
1 1 2 1
Direct
0.0000 0.0000 0.0000 B
0.0000 0.0000 0.5000 Ti
0.0000 0.5000 0.0000 Hf
0.5000 0.0000 0.0000 Hf
0.5000 0.5000 0.5000 In
```

=====

Computed spin magnetization, in the same sequence as the records: 2.9; 0.0; 0.0; 3.0; 0.0; 0.0; 0.0; 0.0 μB per cell.
Computed E, in the same sequence as the records: -24.9; -40.6; -16.3; -19.0; -30.0; -66.7; -39.3; -39.1 eV per cell.